Sc4Ni3: relaxed, PBE.

Space-group type: C2/m, No. 12
V (Å³/atom): 18.64
ΔE to the lowest computed polymorph (eV/atom): 0.0000
Total energy (eV/f.u.): -45.21

Lattice parameters (Å, degrees): 6.638 6.638 5.106 105.13 105.13 37.11
Sites, in units of the cell vectors:
Sc 0.092 0.092 0.278
Sc 0.341 0.341 0.206
Sc 0.659 0.659 0.794
Sc 0.908 0.908 0.722
Ni 0.276 0.276 0.669
Ni 0.500 0.500 0.000
Ni 0.724 0.724 0.331



Sc3Ni4: relaxed, PBE.

Space-group type: R-3, No. 148
V (Å³/atom): 15.26
ΔE to the lowest computed polymorph (eV/atom): 0.0000
Total energy (eV/f.u.): -45.37

Lattice parameters (Å, degrees): 7.097 7.097 7.097 114.22 114.22 114.22
Sites, in units of the cell vectors:
Sc 0.022 0.275 0.404
Sc 0.275 0.404 0.022
Sc 0.404 0.022 0.275
Sc 0.596 0.978 0.725
Sc 0.725 0.596 0.978
Sc 0.978 0.725 0.596
Ni 0.000 0.000 0.000
Ni 0.061 0.548 0.226
Ni 0.226 0.061 0.548
Ni 0.452 0.774 0.939
Ni 0.500 0.500 0.500
Ni 0.548 0.226 0.061
Ni 0.774 0.939 0.452
Ni 0.939 0.452 0.774



Going through the records in order, we get energy relative to the elements values of -2.54, -3.25 eV per formula unit.